# 1
# GGA-PBE NaSnHgBi, relaxed
# Symmetry: F-43m (216)
# DFT formation energy (eV/atom): -0.1578
# Calculated density (g cm⁻³): 8.0
# E (eV/cell): -10.14
data_NaSnHgBi
_symmetry_space_group_name_H-M 'P 1'
_symmetry_Int_Tables_number 1
_cell_length_a 5.446
_cell_length_b 5.446
_cell_length_c 5.446
_cell_angle_alpha 60.00
_cell_angle_beta 60.00
_cell_angle_gamma 60.00
loop_
_symmetry_equiv_pos_as_xyz
'x,y,z'
loop_
_atom_site_label
_atom_site_type_symbol
_atom_site_fract_x
_atom_site_fract_y
_atom_site_fract_z
_atom_site_occupancy
Na1 Na 0.750 0.750 0.750 1
Bi1 Bi 0.500 0.500 0.500 1
Sn1 Sn 0.250 0.250 0.250 1
Hg1 Hg 0.000 0.000 0.000 1

# 2
# GGA-PBE Ho3TeSe6, relaxed
# Symmetry: Cmc2_1 (36)
# Formation energy from raw total energies (eV per formula unit): -12.9
# Calculated density (g cm⁻³): 6.8
# E (eV/cell): -101.46
data_Ho3TeSe6
_symmetry_space_group_name_H-M 'P 1'
_symmetry_Int_Tables_number 1
_cell_length_a 7.011
_cell_length_b 8.896
_cell_length_c 8.896
_cell_angle_alpha 103.68
_cell_angle_beta 90.00
_cell_angle_gamma 90.00
loop_
_symmetry_equiv_pos_as_xyz
'x,y,z'
loop_
_atom_site_label
_atom_site_type_symbol
_atom_site_fract_x
_atom_site_fract_y
_atom_site_fract_z
_atom_site_occupancy
Se1 Se 0.112 0.768 0.232 1
Se2 Se 0.715 0.896 0.437 1
Se3 Se 0.715 0.563 0.104 1
Se4 Se 0.244 0.009 0.991 1
Se5 Se 0.182 0.371 0.297 1
Se6 Se 0.215 0.437 0.896 1
Se7 Se 0.215 0.104 0.563 1
Se8 Se 0.682 0.629 0.703 1
Se9 Se 0.682 0.297 0.371 1
Se10 Se 0.182 0.703 0.629 1
Se11 Se 0.612 0.232 0.768 1
Se12 Se 0.744 0.991 0.009 1
Te1 Te 0.969 0.169 0.831 1
Te2 Te 0.469 0.831 0.169 1
Ho1 Ho 0.993 0.087 0.288 1
Ho2 Ho 0.880 0.588 0.412 1
Ho3 Ho 0.493 0.913 0.712 1
Ho4 Ho 0.380 0.412 0.588 1
Ho5 Ho 0.493 0.288 0.087 1
Ho6 Ho 0.993 0.712 0.913 1

# 3
# GGA-PBE Li2RuSe, relaxed
# Symmetry: Cm (8)
# Formation energy from raw total energies (eV per formula unit): -1.2
# Calculated density (g cm⁻³): 5.5
# E (eV/cell): -17.79
data_Li2RuSe
_symmetry_space_group_name_H-M 'P 1'
_symmetry_Int_Tables_number 1
_cell_length_a 4.578
_cell_length_b 4.578
_cell_length_c 4.483
_cell_angle_alpha 72.02
_cell_angle_beta 72.02
_cell_angle_gamma 40.91
loop_
_symmetry_equiv_pos_as_xyz
'x,y,z'
loop_
_atom_site_label
_atom_site_type_symbol
_atom_site_fract_x
_atom_site_fract_y
_atom_site_fract_z
_atom_site_occupancy
Li1 Li 0.988 0.988 0.960 1
Li2 Li 0.745 0.745 0.786 1
Ru1 Ru 0.521 0.521 0.423 1
Se1 Se 0.246 0.246 0.331 1

# 4
# GGA-PBE SbIrPb, relaxed
# Symmetry: P3m1 (156)
# Formation energy from raw total energies (eV per formula unit): 0.1
# Calculated density (g cm⁻³): 11.5
# E (eV/cell): -16.57
data_SbIrPb
_symmetry_space_group_name_H-M 'P 1'
_symmetry_Int_Tables_number 1
_cell_length_a 3.824
_cell_length_b 3.824
_cell_length_c 5.950
_cell_angle_alpha 90.00
_cell_angle_beta 90.00
_cell_angle_gamma 120.00
loop_
_symmetry_equiv_pos_as_xyz
'x,y,z'
loop_
_atom_site_label
_atom_site_type_symbol
_atom_site_fract_x
_atom_site_fract_y
_atom_site_fract_z
_atom_site_occupancy
Sb1 Sb 0.667 0.333 0.924 1
Pb1 Pb 0.333 0.667 0.383 1
Ir1 Ir 0.000 0.000 0.693 1

# 5
# GGA-PBE NdTe2Pb, relaxed
# Symmetry: P-3m1 (164)
# Formation energy from raw total energies (eV per formula unit): -3.6
# Calculated density (g cm⁻³): 7.4
# E (eV/cell): -55.05
data_NdTe2Pb
_symmetry_space_group_name_H-M 'P 1'
_symmetry_Int_Tables_number 1
_cell_length_a 4.503
_cell_length_b 4.503
_cell_length_c 23.358
_cell_angle_alpha 90.00
_cell_angle_beta 90.00
_cell_angle_gamma 120.00
loop_
_symmetry_equiv_pos_as_xyz
'x,y,z'
loop_
_atom_site_label
_atom_site_type_symbol
_atom_site_fract_x
_atom_site_fract_y
_atom_site_fract_z
_atom_site_occupancy
Pb1 Pb 0.667 0.333 0.831 1
Pb2 Pb 0.000 0.000 0.000 1
Pb3 Pb 0.333 0.667 0.169 1
Te1 Te 0.333 0.667 0.912 1
Te2 Te 0.000 0.000 0.736 1
Te3 Te 0.333 0.667 0.422 1
Te4 Te 0.667 0.333 0.088 1
Te5 Te 0.667 0.333 0.578 1
Te6 Te 0.000 0.000 0.264 1
Nd1 Nd 0.000 0.000 0.500 1
Nd2 Nd 0.667 0.333 0.346 1
Nd3 Nd 0.333 0.667 0.654 1

# 6
# GGA-PBE Tm2Zr8O19, relaxed
# Symmetry: P-4m2 (115)
# Formation energy from raw total energies (eV per formula unit): -96.3
# Calculated density (g cm⁻³): 6.5
# E (eV/cell): -267.81
data_Tm2Zr8O19
_symmetry_space_group_name_H-M 'P 1'
_symmetry_Int_Tables_number 1
_cell_length_a 3.657
_cell_length_b 3.657
_cell_length_c 26.148
_cell_angle_alpha 90.00
_cell_angle_beta 90.00
_cell_angle_gamma 90.00
loop_
_symmetry_equiv_pos_as_xyz
'x,y,z'
loop_
_atom_site_label
_atom_site_type_symbol
_atom_site_fract_x
_atom_site_fract_y
_atom_site_fract_z
_atom_site_occupancy
O1 O 0.500 0.500 0.500 1
O2 O 0.000 0.000 0.295 1
O3 O 0.000 0.000 0.093 1
O4 O 0.500 0.500 0.309 1
O5 O 0.500 0.500 0.789 1
O6 O 0.500 0.500 0.405 1
O7 O 0.000 0.000 0.907 1
O8 O 0.000 0.000 0.603 1
O9 O 0.500 0.500 0.211 1
O10 O 0.000 0.000 0.807 1
O11 O 0.500 0.500 0.111 1
O12 O 0.000 0.000 0.705 1
O13 O 0.000 0.000 0.500 1
O14 O 0.000 0.000 0.193 1
O15 O 0.000 0.000 0.397 1
O16 O 0.500 0.500 0.889 1
O17 O 0.500 0.500 0.595 1
O18 O 0.500 0.500 0.000 1
O19 O 0.500 0.500 0.691 1
Zr1 Zr 0.500 0.000 0.648 1
Zr2 Zr 0.500 0.000 0.848 1
Zr3 Zr 0.000 0.500 0.152 1
Zr4 Zr 0.000 0.500 0.352 1
Zr5 Zr 0.000 0.500 0.748 1
Zr6 Zr 0.500 0.000 0.252 1
Zr7 Zr 0.000 0.500 0.549 1
Zr8 Zr 0.500 0.000 0.451 1
Tm1 Tm 0.000 0.500 0.944 1
Tm2 Tm 0.500 0.000 0.056 1

# 7
# GGA-PBE BaTc4O12, relaxed
# Symmetry: Im-3m (229)
# Formation energy from raw total energies (eV per formula unit): -25.8
# Calculated density (g cm⁻³): 5.2
# E (eV/cell): -128.66
data_BaTc4O12
_symmetry_space_group_name_H-M 'P 1'
_symmetry_Int_Tables_number 1
_cell_length_a 6.687
_cell_length_b 6.687
_cell_length_c 6.687
_cell_angle_alpha 109.47
_cell_angle_beta 109.47
_cell_angle_gamma 109.47
loop_
_symmetry_equiv_pos_as_xyz
'x,y,z'
loop_
_atom_site_label
_atom_site_type_symbol
_atom_site_fract_x
_atom_site_fract_y
_atom_site_fract_z
_atom_site_occupancy
O1 O 0.750 0.249 0.999 1
O2 O 0.249 0.499 0.250 1
O3 O 0.250 0.751 0.001 1
O4 O 0.999 0.750 0.249 1
O5 O 0.001 0.250 0.751 1
O6 O 0.249 0.999 0.750 1
O7 O 0.751 0.001 0.250 1
O8 O 0.501 0.750 0.751 1
O9 O 0.250 0.249 0.499 1
O10 O 0.499 0.250 0.249 1
O11 O 0.751 0.501 0.750 1
O12 O 0.750 0.751 0.501 1
Ba1 Ba 0.000 0.000 0.000 1
Tc1 Tc 0.000 0.000 0.500 1
Tc2 Tc 0.500 0.500 0.500 1
Tc3 Tc 0.000 0.500 0.000 1
Tc4 Tc 0.500 0.000 0.000 1

# 8
# GGA-PBE Sm6DyPb10, relaxed
# Symmetry: P-31m (162)
# DFT formation energy (eV/atom): -0.3904
# Calculated density (g cm⁻³): 10.1
# E (eV/cell): -76.64
data_Sm6DyPb10
_symmetry_space_group_name_H-M 'P 1'
_symmetry_Int_Tables_number 1
_cell_length_a 6.564
_cell_length_b 9.505
_cell_length_c 9.505
_cell_angle_alpha 120.00
_cell_angle_beta 90.00
_cell_angle_gamma 90.00
loop_
_symmetry_equiv_pos_as_xyz
'x,y,z'
loop_
_atom_site_label
_atom_site_type_symbol
_atom_site_fract_x
_atom_site_fract_y
_atom_site_fract_z
_atom_site_occupancy
Pb1 Pb 0.000 0.667 0.333 1
Pb2 Pb 0.500 0.333 0.667 1
Pb3 Pb 0.205 0.000 0.739 1
Pb4 Pb 0.500 0.667 0.333 1
Pb5 Pb 0.000 0.333 0.667 1
Pb6 Pb 0.205 0.739 0.000 1
Pb7 Pb 0.795 0.739 0.739 1
Pb8 Pb 0.795 0.261 0.000 1
Pb9 Pb 0.205 0.261 0.261 1
Pb10 Pb 0.795 0.000 0.261 1
Sm1 Sm 0.735 0.612 0.000 1
Sm2 Sm 0.735 0.388 0.388 1
Sm3 Sm 0.735 0.000 0.612 1
Sm4 Sm 0.265 0.612 0.612 1
Sm5 Sm 0.265 0.388 0.000 1
Sm6 Sm 0.265 0.000 0.388 1
Dy1 Dy 0.500 0.000 0.000 1

# 9
# GGA-PBE LaS2Cl2, relaxed
# Symmetry: C2/m (12)
# Formation energy from raw total energies (eV per formula unit): -8.0
# Calculated density (g cm⁻³): 2.3
# E (eV/cell): -49.81
data_LaS2Cl2
_symmetry_space_group_name_H-M 'P 1'
_symmetry_Int_Tables_number 1
_cell_length_a 7.581
_cell_length_b 7.521
_cell_length_c 8.068
_cell_angle_alpha 86.47
_cell_angle_beta 61.98
_cell_angle_gamma 82.47
loop_
_symmetry_equiv_pos_as_xyz
'x,y,z'
loop_
_atom_site_label
_atom_site_type_symbol
_atom_site_fract_x
_atom_site_fract_y
_atom_site_fract_z
_atom_site_occupancy
Cl1 Cl 0.028 0.730 0.450 1
Cl2 Cl 0.478 0.730 0.550 1
Cl3 Cl 0.972 0.270 0.550 1
Cl4 Cl 0.522 0.270 0.450 1
S1 S 0.226 0.437 0.000 1
S2 S 0.956 0.730 0.000 1
S3 S 0.774 0.563 0.000 1
S4 S 0.044 0.270 0.000 1
La1 La 0.173 0.500 0.654 1
La2 La 0.827 0.500 0.346 1

# 10
# GGA-PBE Cu6Pd8Pt, relaxed
# Symmetry: R-3 (148)
# DFT formation energy (eV/atom): 0.1508
# Polymorph energy (0 for the lowest one) (eV per atom): 0.000
# Calculated density (g cm⁻³): 10.4
# E (eV/cell): -69.90
data_Cu6Pd8Pt
_symmetry_space_group_name_H-M 'P 1'
_symmetry_Int_Tables_number 1
_cell_length_a 6.196
_cell_length_b 6.196
_cell_length_c 6.196
_cell_angle_alpha 80.14
_cell_angle_beta 80.14
_cell_angle_gamma 80.14
loop_
_symmetry_equiv_pos_as_xyz
'x,y,z'
loop_
_atom_site_label
_atom_site_type_symbol
_atom_site_fract_x
_atom_site_fract_y
_atom_site_fract_z
_atom_site_occupancy
Pt1 Pt 0.000 0.000 0.000 1
Cu1 Cu 0.215 0.433 0.581 1
Cu2 Cu 0.581 0.215 0.433 1
Cu3 Cu 0.567 0.419 0.785 1
Cu4 Cu 0.433 0.581 0.215 1
Cu5 Cu 0.419 0.785 0.567 1
Cu6 Cu 0.785 0.567 0.419 1
Pd1 Pd 0.394 0.070 0.822 1
Pd2 Pd 0.767 0.767 0.767 1
Pd3 Pd 0.822 0.394 0.070 1
Pd4 Pd 0.233 0.233 0.233 1
Pd5 Pd 0.178 0.606 0.930 1
Pd6 Pd 0.070 0.822 0.394 1
Pd7 Pd 0.930 0.178 0.606 1
Pd8 Pd 0.606 0.930 0.178 1

# 11
# GGA-PBE LiF5, relaxed
# Symmetry: P2_1/m (11)
# Polymorph energy (0 for the lowest one) (eV per atom): 0.000
# Formation energy from raw total energies (eV per formula unit): -5.5
# Calculated density (g cm⁻³): 2.2
# E (eV/cell): -33.45
data_LiF5
_symmetry_space_group_name_H-M 'P 1'
_symmetry_Int_Tables_number 1
_cell_length_a 3.154
_cell_length_b 5.954
_cell_length_c 8.369
_cell_angle_alpha 90.00
_cell_angle_beta 90.00
_cell_angle_gamma 90.21
loop_
_symmetry_equiv_pos_as_xyz
'x,y,z'
loop_
_atom_site_label
_atom_site_type_symbol
_atom_site_fract_x
_atom_site_fract_y
_atom_site_fract_z
_atom_site_occupancy
Li1 Li 0.766 0.258 0.750 1
Li2 Li 0.234 0.742 0.250 1
F1 F 0.267 0.338 0.608 1
F2 F 0.773 0.784 0.935 1
F3 F 0.733 0.662 0.108 1
F4 F 0.159 0.066 0.250 1
F5 F 0.841 0.934 0.750 1
F6 F 0.733 0.662 0.392 1
F7 F 0.227 0.216 0.435 1
F8 F 0.227 0.216 0.065 1
F9 F 0.267 0.338 0.892 1
F10 F 0.773 0.784 0.565 1

# 12
# GGA-PBE BeAsN2F, relaxed
# Symmetry: P4/mmm (123)
# Polymorph energy (0 for the lowest one) (eV per atom): 0.000
# Formation energy from raw total energies (eV per formula unit): 1.7
# Calculated density (g cm⁻³): 4.8
# E (eV/cell): -25.17
data_BeAsN2F
_symmetry_space_group_name_H-M 'P 1'
_symmetry_Int_Tables_number 1
_cell_length_a 3.698
_cell_length_b 3.698
_cell_length_c 3.321
_cell_angle_alpha 90.00
_cell_angle_beta 90.00
_cell_angle_gamma 90.00
loop_
_symmetry_equiv_pos_as_xyz
'x,y,z'
loop_
_atom_site_label
_atom_site_type_symbol
_atom_site_fract_x
_atom_site_fract_y
_atom_site_fract_z
_atom_site_occupancy
N1 N 0.000 0.500 0.000 1
N2 N 0.500 0.000 0.000 1
F1 F 0.000 0.000 0.500 1
As1 As 0.500 0.500 0.500 1
Be1 Be 0.000 0.000 0.000 1

What did the first record say?
# GGA-PBE NaSnHgBi, relaxed
# Symmetry: F-43m (216)
# DFT formation energy (eV/atom): -0.1578
# Calculated density (g cm⁻³): 8.0
# E (eV/cell): -10.14
data_NaSnHgBi
_symmetry_space_group_name_H-M 'P 1'
_symmetry_Int_Tables_number 1
_cell_length_a 5.446
_cell_length_b 5.446
_cell_length_c 5.446
_cell_angle_alpha 60.00
_cell_angle_beta 60.00
_cell_angle_gamma 60.00
loop_
_symmetry_equiv_pos_as_xyz
'x,y,z'
loop_
_atom_site_label
_atom_site_type_symbol
_atom_site_fract_x
_atom_site_fract_y
_atom_site_fract_z
_atom_site_occupancy
Na1 Na 0.750 0.750 0.750 1
Bi1 Bi 0.500 0.500 0.500 1
Sn1 Sn 0.250 0.250 0.250 1
Hg1 Hg 0.000 0.000 0.000 1